LiDyZnSi | Alexandria | PBE-GGA | optimized geometry; space-group type = F-43m, No. 216; E = -14.64 eV for the cell shown; total magnetization = 0.00 μB/f.u.; DOS(E_F) = 1.1 states/eV per cell; raw formation energy = -357 meV per atom
1.0
0.000 3.355 3.355
3.355 0.000 3.355
3.355 3.355 0.000
Li Dy Zn Si
1 1 1 1
direct
0.000 0.000 0.000 Li
0.500 0.500 0.500 Dy
0.250 0.250 0.250 Zn
0.750 0.750 0.750 Si